Below is a relaxed structure of SrCd2Sb2, with properties calculated at the PBE-GGA level.

Lattice parameters (Å, degrees): 5.2065 5.2065 11.1752 90.00 90.00 90.00
Space group I4/mmm (No. 139)
Unique sites:
Sr  0.0000  0.0000  0.0000 (multiplicity 2)
Cd  0.0000  0.0000  0.3791 (multiplicity 4)
Sb  0.0000  0.5000  0.2500 (multiplicity 4)

Values from the calculation:
* formation energy (no corrections): -0.318 eV per atom
* energy: -2.67 eV/atom


Below is a relaxed structure of Zr2TcRh, with properties calculated at the PBE-GGA level.

Lattice parameters (Å, degrees): 2.8673 2.8673 8.9047 90.00 90.00 90.00
Space group P4mm (No. 99)
Unique sites:
Zr  0.0000  0.0000  0.0000 (multiplicity 1)
Zr  0.5000  0.5000  0.3058 (multiplicity 1)
Tc  0.5000  0.5000  0.7420 (multiplicity 1)
Rh  0.0000  0.0000  0.5529 (multiplicity 1)

Values from the calculation:
* E_form: -0.060 eV/atom
* energy: -8.76 eV/atom


Below is a relaxed structure of MoIr2Ru, with properties calculated at the PBE-GGA level.

Lattice parameters (Å, degrees): 5.4685 7.7978 2.7433 90.00 90.00 90.00
Space group Cmmm (No. 65)
Unique sites:
Mo  0.0000  0.0000  0.0000 (multiplicity 2)
Ir  0.2500  0.2500  0.5000 (multiplicity 4)
Ru  0.0000  0.5000  0.0000 (multiplicity 2)

Values from the calculation:
* E_form: -0.157 eV/atom
* energy: -9.61 eV/atom